5
Lattice="-2.4289 -3.0821 -0.8671 1.3473 0.0035 -3.7862 3.9523 -1.4900 3.5378" Properties=species:S:1:pos:R:3 comment="PaMnP2Os PBE relaxed" spacegroup="No. 119" pbc="T T T"
Pa 0.0000 0.0000 0.0000
P 2.5423 -2.2575 0.9026
P 0.3284 -2.3110 -2.0181
Mn 2.3794 -1.5129 -1.2875
Os 0.4913 -3.0556 0.1720

6
Lattice="-0.5142 -3.3359 -0.0005 4.6168 -0.7118 0.8649 -3.5915 0.5526 6.5787" Properties=species:S:1:pos:R:3 comment="Er2TmRu3 PBE relaxed" spacegroup="No. 65" relative_energy_ev_per_atom=0.003 pbc="T T T"
Ru 1.1947 -1.8925 5.1129
Ru 2.0513 -2.0238 0.4322
Ru -0.6836 -1.6025 2.3302
Er 1.8814 -0.2904 2.7658
Er -0.8561 0.1313 4.6778
Tm 0.0000 0.0000 0.0000

no.,calculated density (g/cm3),DFT formation energy (eV/atom)
1,11.722,-0.7833
2,11.716,-0.3953